[1]
# PmTlTe, relaxed, DFT GGA-PBE
data_PmTlTe
_cell_length_a 5.2510
_cell_length_b 5.2510
_cell_length_c 4.2995
_cell_angle_alpha 90.00
_cell_angle_beta 90.00
_cell_angle_gamma 120.00
_symmetry_space_group_name_H-M 'P -6 m 2'
_symmetry_Int_Tables_number 187
_symmetry_space_group_name_Hall 'P -6 2'
loop_
_atom_site_label
_atom_site_type_symbol
_atom_site_fract_x
_atom_site_fract_y
_atom_site_fract_z
Pm1 Pm 0.0000 0.0000 0.0000
Tl1 Tl 0.3333 0.6667 0.5000
Te1 Te 0.6667 0.3333 0.0000
# E_form (uncorrected)   -505 meV/atom
# Final energy   -3.92 eV/atom
# E above lowest polymorph   342 meV per atom

[2]
# Pm2TlTe, relaxed, DFT GGA-PBE
data_Pm2TlTe
_cell_length_a 7.770
_cell_length_b 7.770
_cell_length_c 7.770
_cell_angle_alpha 90.00
_cell_angle_beta 90.00
_cell_angle_gamma 90.00
_symmetry_space_group_name_H-M 'F m -3 m'
_symmetry_Int_Tables_number 225
_symmetry_space_group_name_Hall '-F 4 2 3'
loop_
_atom_site_label
_atom_site_type_symbol
_atom_site_fract_x
_atom_site_fract_y
_atom_site_fract_z
Pm1 Pm 0.250 0.250 0.250
Tl1 Tl 0.000 0.000 0.000
Te1 Te 0.000 0.000 0.500
# E_form (uncorrected)   -653 meV/atom
# Final energy   -4.41 eV/atom
# E above lowest polymorph   270 meV per atom

Q: Among the records above, which one has the lowest final energy?
A: Pm2TlTe